! Dy2PuCdO8 | Alexandria via LeMat-Bulk | PBE | optimized geometry; values from VASP
! Space-group type: Cmmm (65)
! Crystal system: orthorhombic
&SYSTEM
  ibrav = 0, nat = 12, ntyp = 4
/
ATOMIC_SPECIES
Dy 162.50 Dy.upf
Pu 244.00 Pu.upf
Cd 112.41 Cd.upf
O 16.00 O.upf
ATOMIC_POSITIONS crystal
Dy 0.500 0.500 0.739
Dy 0.500 0.500 0.261
Pu 0.000 0.000 0.000
Cd 0.000 0.000 0.500
O 0.187 0.813 0.202
O 0.711 0.713 0.000
O 0.814 0.188 0.202
O 0.813 0.187 0.798
O 0.289 0.287 0.000
O 0.186 0.812 0.798
O 0.696 0.696 0.500
O 0.304 0.304 0.500
CELL_PARAMETERS angstrom
-3.742 -2.006 2.661
3.488 -2.130 2.908
-0.047 5.763 4.278


! DyPuCdO6 | Alexandria via LeMat-Bulk | PBE | optimized geometry; values from VASP
! Space-group type: P312 (149)
! Crystal system: trigonal
&SYSTEM
  ibrav = 0, nat = 9, ntyp = 4
/
ATOMIC_SPECIES
Dy 162.50 Dy.upf
Pu 244.00 Pu.upf
Cd 112.41 Cd.upf
O 16.00 O.upf
ATOMIC_POSITIONS crystal
Dy 0.500 0.667 0.333
Pu 0.500 0.000 0.000
Cd 0.000 0.333 0.667
O 0.727 0.704 0.698
O 0.727 0.302 0.006
O 0.727 0.994 0.296
O 0.273 0.302 0.296
O 0.273 0.704 0.006
O 0.273 0.994 0.698
CELL_PARAMETERS angstrom
-3.055 3.587 0.286
-4.368 -3.703 -0.221
2.232 1.498 5.061


! Rb2DyCd2O4 | Alexandria via LeMat-Bulk | PBE | optimized geometry; values from VASP
! Space-group type: C2/m (12)
! Crystal system: monoclinic
&SYSTEM
  ibrav = 0, nat = 9, ntyp = 4
/
ATOMIC_SPECIES
Rb 85.47 Rb.upf
Dy 162.50 Dy.upf
Cd 112.41 Cd.upf
O 16.00 O.upf
ATOMIC_POSITIONS crystal
Rb 0.128 0.482 0.257
Rb 0.872 0.518 0.743
Dy 0.000 0.000 0.000
Cd 0.692 0.029 0.385
Cd 0.308 0.971 0.615
O 0.230 0.197 0.459
O 0.770 0.803 0.541
O 0.465 0.821 0.930
O 0.535 0.179 0.070
CELL_PARAMETERS angstrom
3.554 0.000 0.000
0.000 10.455 -1.091
-1.777 -5.442 5.447


! DyCdRhO4 | Alexandria via LeMat-Bulk | PBE | optimized geometry; values from VASP
! Space-group type: Imma (74)
! Crystal system: orthorhombic
&SYSTEM
  ibrav = 0, nat = 14, ntyp = 4
/
ATOMIC_SPECIES
Dy 162.50 Dy.upf
Cd 112.41 Cd.upf
Rh 102.91 Rh.upf
O 16.00 O.upf
ATOMIC_POSITIONS crystal
Dy 0.500 0.000 0.500
Dy 0.500 0.000 0.000
Cd 0.883 0.766 0.133
Cd 0.117 0.234 0.867
Rh 0.500 0.500 0.500
Rh 0.000 0.500 0.500
O 0.757 0.514 0.707
O 0.290 0.024 0.262
O 0.734 0.024 0.262
O 0.757 0.514 0.307
O 0.243 0.486 0.693
O 0.710 0.976 0.738
O 0.266 0.976 0.738
O 0.243 0.486 0.293
CELL_PARAMETERS angstrom
-0.456 -3.047 5.793
4.931 -1.259 -3.990
-0.641 6.018 3.114


! DyCd2RuO6 | Alexandria via LeMat-Bulk | PBE | optimized geometry; values from VASP
! Space-group type: P4mm (99)
! Crystal system: tetragonal
&SYSTEM
  ibrav = 0, nat = 10, ntyp = 4
/
ATOMIC_SPECIES
Dy 162.50 Dy.upf
Cd 112.41 Cd.upf
Ru 101.07 Ru.upf
O 16.00 O.upf
ATOMIC_POSITIONS crystal
Dy 0.624 0.500 0.500
Cd 0.978 0.500 0.000
Cd 0.978 0.000 0.500
Ru 0.602 0.000 0.000
O 0.724 0.228 0.228
O 0.724 0.228 0.772
O 0.149 0.500 0.500
O 0.222 0.000 0.000
O 0.724 0.772 0.772
O 0.724 0.772 0.228
CELL_PARAMETERS angstrom
4.574 0.000 0.000
0.000 5.779 0.000
0.000 0.000 5.779


! DyCd2SbO6 | Alexandria via LeMat-Bulk | PBE | optimized geometry; values from VASP
! Space-group type: R3 (146)
! Crystal system: trigonal
&SYSTEM
  ibrav = 0, nat = 10, ntyp = 4
/
ATOMIC_SPECIES
Dy 162.50 Dy.upf
Cd 112.41 Cd.upf
Sb 121.76 Sb.upf
O 16.00 O.upf
ATOMIC_POSITIONS crystal
Dy 0.813 0.813 0.560
Cd 0.541 0.541 0.376
Cd 0.036 0.036 0.893
Sb 0.319 0.319 0.044
O 0.570 0.197 0.261
O 0.197 0.972 0.261
O 0.972 0.570 0.261
O 0.436 0.669 0.787
O 0.669 0.108 0.787
O 0.108 0.436 0.787
CELL_PARAMETERS angstrom
5.660 0.000 0.000
2.830 4.902 0.000
2.830 1.634 4.920


Ρ
In order: 7.5 7.6 5.7 7.4 6.4 7.4
Unit: g/cm³
Energy relative to the elements, uncorrected
In order: -236.1 -224.2 -160.1 -171.3 -131.1 -179.9
Unit: kJ per mole of atoms
Density of states at the Fermi level
In order: 4.74 0.05 2.42 0.17 4.65 0.00
Unit: states/eV/f.u.